# 1
Compound: PrPuBr2
Source: the Alexandria database
Functional: PBE
Structure: relaxed

a b c (Å): 10.5352 10.5352 10.5352
angles (deg): 20.59 20.59 20.59
Sites, in units of the cell vectors:
Pr1 0.0000 0.0000 0.0000
Pu1 0.5000 0.5000 0.5000
Br1 0.0983 0.0983 0.0983
Br2 0.9017 0.9017 0.9017

Computed properties:
DOS(E_F), states/eV/cell: 8.5
Theoretical density, g/cm³: 7.1
Final energy, eV per cell: -26.06
Crystal system: trigonal

# 2
Compound: PrPuTe2Br
Source: the Alexandria database
Functional: PBE
Structure: relaxed

a b c (Å): 4.5389 4.5389 15.3048
angles (deg): 90.00 90.00 90.00
Sites, in units of the cell vectors:
Pr1 0.2500 0.2500 0.0968
Pr2 0.7500 0.7500 0.9032
Pu1 0.2500 0.2500 0.6363
Pu2 0.7500 0.7500 0.3637
Te1 0.2500 0.2500 0.3023
Te2 0.2500 0.2500 0.8826
Te3 0.7500 0.7500 0.1174
Te4 0.7500 0.7500 0.6977
Br1 0.2500 0.7500 0.5000
Br2 0.7500 0.2500 0.5000

Computed properties:
DOS(E_F), states/eV/cell: 26.3
Theoretical density, g/cm³: 7.6
Final energy, eV per cell: -66.97
Crystal system: tetragonal

# 3
Compound: Rb3PrBr8
Source: the Alexandria database
Functional: PBE
Structure: relaxed

a b c (Å): 9.8563 9.8563 9.8563
angles (deg): 133.64 133.64 67.65
Sites, in units of the cell vectors:
Rb1 0.0000 0.0000 0.0000
Rb2 0.2500 0.7500 0.5000
Rb3 0.7500 0.2500 0.5000
Pr1 0.5000 0.5000 0.0000
Br1 0.1639 0.1639 0.5507
Br2 0.1639 0.6132 0.0000
Br3 0.3868 0.3868 0.5507
Br4 0.3868 0.8361 0.0000
Br5 0.6132 0.1639 0.0000
Br6 0.6132 0.6132 0.4493
Br7 0.8361 0.3868 0.0000
Br8 0.8361 0.8361 0.4493

Computed properties:
DOS(E_F), states/eV/cell: 17.4
Theoretical density, g/cm³: 3.5
Final energy, eV per cell: -37.66
Crystal system: tetragonal

# 4
Compound: Rb2PrBr6
Source: the Alexandria database
Functional: PBE
Structure: relaxed

a b c (Å): 4.6661 8.8692 8.8692
angles (deg): 120.24 90.00 90.00
Sites, in units of the cell vectors:
Rb1 0.0000 0.1673 0.8327
Rb2 0.0000 0.8327 0.1673
Pr1 0.5000 0.5021 0.5021
Br1 0.0000 0.2670 0.5004
Br2 0.0000 0.5004 0.2670
Br3 0.0000 0.7364 0.7364
Br4 0.5000 0.1518 0.1518
Br5 0.5000 0.4999 0.8505
Br6 0.5000 0.8505 0.4999

Computed properties:
DOS(E_F), states/eV/cell: 10.2
Theoretical density, g/cm³: 4.1
Final energy, eV per cell: -30.70
Crystal system: orthorhombic

# 5
Compound: RbPrBr3
Source: the Alexandria database
Functional: PBE
Structure: relaxed

a b c (Å): 9.8387 4.2168 17.1334
angles (deg): 90.00 90.00 90.00
Sites, in units of the cell vectors:
Rb1 0.0656 0.2500 0.1763
Rb2 0.4344 0.7500 0.6763
Rb3 0.5656 0.2500 0.3237
Rb4 0.9344 0.7500 0.8237
Pr1 0.1358 0.7500 0.4533
Pr2 0.3642 0.2500 0.9533
Pr3 0.6358 0.7500 0.0467
Pr4 0.8642 0.2500 0.5467
Br1 0.0482 0.7500 0.6250
Br2 0.1636 0.7500 0.0074
Br3 0.2248 0.2500 0.7986
Br4 0.2752 0.7500 0.2986
Br5 0.3364 0.2500 0.5074
Br6 0.4518 0.2500 0.1250
Br7 0.5482 0.7500 0.8750
Br8 0.6636 0.7500 0.4926
Br9 0.7248 0.2500 0.7014
Br10 0.7752 0.7500 0.2014
Br11 0.8364 0.2500 0.9926
Br12 0.9518 0.2500 0.3750

Computed properties:
DOS(E_F), states/eV/cell: 2.4
Theoretical density, g/cm³: 4.4
Final energy, eV per cell: -77.11
Crystal system: orthorhombic

# 6
Compound: RbPrBr3
Source: the Alexandria database
Functional: PBE
Structure: relaxed

a b c (Å): 5.8799 5.8799 5.8799
angles (deg): 90.00 90.00 90.00
Sites, in units of the cell vectors:
Rb1 0.0000 0.0000 0.0000
Pr1 0.5000 0.5000 0.5000
Br1 0.0000 0.5000 0.5000
Br2 0.5000 0.0000 0.5000
Br3 0.5000 0.5000 0.0000

Computed properties:
DOS(E_F), states/eV/cell: 3.6
Theoretical density, g/cm³: 3.8
Final energy, eV per cell: -18.71
Crystal system: cubic

# 7
Compound: Rb3PrBr6
Source: the Alexandria database
Functional: PBE
Structure: relaxed

a b c (Å): 8.2605 8.8047 14.1580
angles (deg): 90.00 123.92 90.00
Sites, in units of the cell vectors:
Rb1 0.0000 0.0000 0.0000
Rb2 0.0000 0.5000 0.5000
Rb3 0.2106 0.0763 0.7410
Rb4 0.2106 0.4237 0.2410
Rb5 0.7894 0.5763 0.7590
Rb6 0.7894 0.9237 0.2590
Pr1 0.5000 0.0000 0.5000
Pr2 0.5000 0.5000 0.0000
Br1 0.1585 0.1791 0.4431
Br2 0.1585 0.3209 0.9431
Br3 0.2547 0.7253 0.4211
Br4 0.2547 0.7747 0.9211
Br5 0.4056 0.0593 0.2709
Br6 0.4056 0.4407 0.7709
Br7 0.5944 0.5593 0.2291
Br8 0.5944 0.9407 0.7291
Br9 0.7453 0.2253 0.0789
Br10 0.7453 0.2747 0.5789
Br11 0.8415 0.6791 0.0569
Br12 0.8415 0.8209 0.5569

Computed properties:
DOS(E_F), states/eV/cell: 0.0
Theoretical density, g/cm³: 3.4
Final energy, eV per cell: -72.16
Crystal system: monoclinic

# 8
Compound: RbPr2Br7
Source: the Alexandria database
Functional: PBE
Structure: relaxed

a b c (Å): 8.7964 8.7964 5.8283
angles (deg): 90.00 90.00 116.14
Sites, in units of the cell vectors:
Rb1 0.0000 0.0000 0.0000
Pr1 0.3020 0.6980 0.5000
Pr2 0.6980 0.3020 0.5000
Br1 0.0503 0.3253 0.5000
Br2 0.2885 0.7115 0.0000
Br3 0.3253 0.0503 0.5000
Br4 0.5000 0.5000 0.5000
Br5 0.6747 0.9497 0.5000
Br6 0.7115 0.2885 0.0000
Br7 0.9497 0.6747 0.5000

Computed properties:
DOS(E_F), states/eV/cell: 0.0
Theoretical density, g/cm³: 3.8
Final energy, eV per cell: -40.69
Crystal system: orthorhombic

# 9
Compound: Rb4PrBr6
Source: the Alexandria database
Functional: PBE
Structure: relaxed

a b c (Å): 9.5955 9.5955 9.8357
angles (deg): 90.00 90.00 90.00
Sites, in units of the cell vectors:
Rb1 0.1695 0.3305 0.2500
Rb2 0.1695 0.3305 0.7500
Rb3 0.3305 0.8305 0.2500
Rb4 0.3305 0.8305 0.7500
Rb5 0.6695 0.1695 0.2500
Rb6 0.6695 0.1695 0.7500
Rb7 0.8305 0.6695 0.2500
Rb8 0.8305 0.6695 0.7500
Pr1 0.0000 0.0000 0.0000
Pr2 0.5000 0.5000 0.5000
Br1 0.0000 0.0000 0.2981
Br2 0.0000 0.0000 0.7019
Br3 0.0996 0.6954 0.0000
Br4 0.1954 0.5996 0.5000
Br5 0.3046 0.0996 0.0000
Br6 0.4004 0.1954 0.5000
Br7 0.5000 0.5000 0.2019
Br8 0.5000 0.5000 0.7981
Br9 0.5996 0.8046 0.5000
Br10 0.6954 0.9004 0.0000
Br11 0.8046 0.4004 0.5000
Br12 0.9004 0.3046 0.0000

Computed properties:
DOS(E_F), states/eV/cell: 9.2
Theoretical density, g/cm³: 3.5
Final energy, eV per cell: -73.70
Crystal system: tetragonal

# 10
Compound: RbPr2Br6
Source: the Alexandria database
Functional: PBE
Structure: relaxed

a b c (Å): 10.8538 10.8538 7.4387
angles (deg): 108.35 108.35 72.48
Sites, in units of the cell vectors:
Rb1 0.2472 0.7528 0.7500
Rb2 0.7528 0.2472 0.2500
Pr1 0.1812 0.3193 0.0033
Pr2 0.3193 0.1812 0.5033
Pr3 0.6807 0.8188 0.4967
Pr4 0.8188 0.6807 0.9967
Br1 0.0661 0.1948 0.5857
Br2 0.0937 0.5923 0.9294
Br3 0.1948 0.0661 0.0857
Br4 0.3024 0.4357 0.4218
Br5 0.4077 0.9063 0.5706
Br6 0.4357 0.3024 0.9218
Br7 0.5643 0.6976 0.0782
Br8 0.5923 0.0937 0.4294
Br9 0.6976 0.5643 0.5782
Br10 0.8052 0.9339 0.9143
Br11 0.9063 0.4077 0.0706
Br12 0.9339 0.8052 0.4143

Computed properties:
DOS(E_F), states/eV/cell: 6.7
Theoretical density, g/cm³: 3.7
Final energy, eV per cell: -72.96
Crystal system: monoclinic

# 11
Compound: Rb3Pr5Br12
Source: the Alexandria database
Functional: PBE
Structure: relaxed

a b c (Å): 16.2420 16.2420 16.2420
angles (deg): 109.47 109.47 109.47
Sites, in units of the cell vectors:
Rb1 0.1250 0.2500 0.3750
Rb2 0.1250 0.3750 0.7500
Rb3 0.2500 0.3750 0.1250
Rb4 0.2500 0.8750 0.6250
Rb5 0.3750 0.1250 0.2500
Rb6 0.3750 0.7500 0.1250
Rb7 0.6250 0.2500 0.8750
Rb8 0.6250 0.8750 0.7500
Rb9 0.7500 0.1250 0.3750
Rb10 0.7500 0.6250 0.8750
Rb11 0.8750 0.6250 0.2500
Rb12 0.8750 0.7500 0.6250
Pr1 0.0000 0.0000 0.0000
Pr2 0.0000 0.0000 0.5000
Pr3 0.0000 0.5000 0.0000
Pr4 0.0000 0.5000 0.5000
Pr5 0.1250 0.7500 0.8750
Pr6 0.1250 0.8750 0.2500
Pr7 0.2500 0.1250 0.8750
Pr8 0.2500 0.6250 0.3750
Pr9 0.3750 0.2500 0.6250
Pr10 0.3750 0.6250 0.7500
Pr11 0.5000 0.0000 0.0000
Pr12 0.5000 0.0000 0.5000
Pr13 0.5000 0.5000 0.0000
Pr14 0.5000 0.5000 0.5000
Pr15 0.6250 0.3750 0.2500
Pr16 0.6250 0.7500 0.3750
Pr17 0.7500 0.3750 0.6250
Pr18 0.7500 0.8750 0.1250
Pr19 0.8750 0.1250 0.7500
Pr20 0.8750 0.2500 0.1250
Br1 0.0386 0.2088 0.1309
Br2 0.0386 0.3297 0.9076
Br3 0.0779 0.7088 0.6703
Br4 0.0779 0.8691 0.4076
Br5 0.0924 0.6309 0.4221
Br6 0.0924 0.9614 0.6703
Br7 0.1309 0.0386 0.2088
Br8 0.1309 0.5924 0.9221
Br9 0.1703 0.2088 0.5779
Br10 0.1703 0.4614 0.5924
Br11 0.2088 0.1309 0.0386
Br12 0.2088 0.5779 0.1703
Br13 0.2912 0.3297 0.9221
Br14 0.2912 0.4614 0.3691
Br15 0.3297 0.9076 0.0386
Br16 0.3297 0.9221 0.2912
Br17 0.3691 0.2912 0.4614
Br18 0.3691 0.5779 0.9076
Br19 0.4076 0.0779 0.8691
Br20 0.4076 0.8297 0.5386
Br21 0.4221 0.0924 0.6309
Br22 0.4221 0.8297 0.7912
Br23 0.4614 0.3691 0.2912
Br24 0.4614 0.5924 0.1703
Br25 0.5386 0.4076 0.8297
Br26 0.5386 0.6309 0.7088
Br27 0.5779 0.1703 0.2088
Br28 0.5779 0.9076 0.3691
Br29 0.5924 0.1703 0.4614
Br30 0.5924 0.9221 0.1309
Br31 0.6309 0.4221 0.0924
Br32 0.6309 0.7088 0.5386
Br33 0.6703 0.0779 0.7088
Br34 0.6703 0.0924 0.9614
Br35 0.7088 0.5386 0.6309
Br36 0.7088 0.6703 0.0779
Br37 0.7912 0.4221 0.8297
Br38 0.7912 0.8691 0.9614
Br39 0.8297 0.5386 0.4076
Br40 0.8297 0.7912 0.4221
Br41 0.8691 0.4076 0.0779
Br42 0.8691 0.9614 0.7912
Br43 0.9076 0.0386 0.3297
Br44 0.9076 0.3691 0.5779
Br45 0.9221 0.1309 0.5924
Br46 0.9221 0.2912 0.3297
Br47 0.9614 0.6703 0.0924
Br48 0.9614 0.7912 0.8691

Computed properties:
DOS(E_F), states/eV/cell: 50.3
Theoretical density, g/cm³: 3.9
Final energy, eV per cell: -298.87
Crystal system: cubic

# 12
Compound: RbPrBr4
Source: the Alexandria database
Functional: PBE
Structure: relaxed

a b c (Å): 8.8713 8.8713 7.4253
angles (deg): 107.59 107.59 110.00
Sites, in units of the cell vectors:
Rb1 0.1374 0.8626 0.7500
Rb2 0.8626 0.1374 0.2500
Pr1 0.4960 0.5040 0.2500
Pr2 0.5040 0.4960 0.7500
Br1 0.1735 0.2965 0.8046
Br2 0.2404 0.5543 0.4325
Br3 0.2965 0.1735 0.3046
Br4 0.4457 0.7596 0.0675
Br5 0.5543 0.2404 0.9325
Br6 0.7035 0.8265 0.6954
Br7 0.7596 0.4457 0.5675
Br8 0.8265 0.7035 0.1954

Computed properties:
DOS(E_F), states/eV/cell: 0.0
Theoretical density, g/cm³: 3.9
Final energy, eV per cell: -46.58
Crystal system: monoclinic